Entry 1:
Computed, not measured: a geometry-optimized LaNdCu2Si2 structure at the GGA-PBE level of DFT.

Unit cell a=4.2391 b=4.2391 c=8.0655 alpha=90.00 beta=90.00 gamma=120.00
With the nearest neighbours (Å) after each atom.
Fractional positions:
La 0.0000 0.0000 0.0000  6 Si 3.20, 6 Cu 3.21
Nd 0.0000 0.0000 0.5000  6 Cu 3.13, 6 Si 3.14
Cu 0.3333 0.6667 0.2583  3 Si 2.45
Cu 0.6667 0.3333 0.7417  3 Si 2.45
Si 0.3333 0.6667 0.7443  3 Cu 2.45
Si 0.6667 0.3333 0.2557  3 Cu 2.45

Summary:
As for the symmetry: P-3m1 (164). Its theoretical density is 6.2 g/cm³. The density of states at the Fermi level is 1.9 states/eV/cell. The uncorrected formation energy is -0.6189 eV per atom.

---

Entry 2:
Computed, not measured: a geometry-optimized LaNd2Cu2Sn2 structure at the GGA-PBE level of DFT.

Unit cell a=10.1154 b=10.1154 c=10.1154 alpha=26.52 beta=26.52 gamma=26.52
With the nearest neighbours (Å) after each atom.
Fractional positions:
La 0.0000 0.0000 0.0000  6 Sn 3.37, 6 Cu 3.52
Nd 0.1299 0.1299 0.1299  3 Cu 3.08, 3 Sn 3.20, 3 Nd 3.44
Nd 0.8701 0.8701 0.8701  3 Cu 3.08, 3 Sn 3.20, 3 Nd 3.44
Cu 0.4111 0.4111 0.4111  3 Sn 2.69
Cu 0.5889 0.5889 0.5889  3 Sn 2.69
Sn 0.2632 0.2632 0.2632  3 Cu 2.69
Sn 0.7368 0.7368 0.7368  3 Cu 2.69

Summary:
As for the symmetry: R-3m (166). As for the formation energy: -41.77 kJ/mol of atoms. Its theoretical density is 7.2 g/cm³. The density of states at the Fermi level is 3.2 states/eV/cell.

---

Number 1: magnetization 0.0000 μB/atom. Number 2: magnetization 0.0000 μB/atom.